Model a:
## RbNiI4 (PBE)

Data for a relaxed structure of RbNiI4.

Lattice parameters (Å, degrees): 4.1691 6.5837 8.9695 94.14 90.00 90.00
Atoms (fractional coordinates):
1 Rb 0.5000 0.5000 0.0000
2 I 0.5000 0.2805 0.3642
3 I 0.0000 0.7587 0.2870
4 I 0.0000 0.2413 0.7130
5 I 0.5000 0.7195 0.6358
6 Ni 0.0000 0.5000 0.5000

Computed properties:
density of states at the Fermi level = 0.8282 states/eV per atom
density = 4408 kg/m3

---

Model b:
## RbNiI4 (PBE)

Data for a relaxed structure of RbNiI4.

Lattice parameters (Å, degrees): 9.5263 10.6265 11.4029 90.00 90.00 100.50
Atoms (fractional coordinates):
1 I 0.5255 0.6266 0.8377
2 I 0.3000 0.9729 0.1063
3 I 0.0633 0.2929 0.9906
4 I 0.2736 0.8853 0.7364
5 I 0.2264 0.6147 0.2364
6 I 0.8000 0.4729 0.3937
7 I 0.9745 0.8734 0.3377
8 I 0.7736 0.3853 0.7636
9 I 0.5633 0.7929 0.5094
10 I 0.4745 0.3734 0.1623
11 I 0.4367 0.2071 0.4906
12 I 0.9367 0.7071 0.0094
13 I 0.2000 0.5271 0.6063
14 I 0.7264 0.1147 0.2636
15 I 0.7000 0.0271 0.8937
16 I 0.0255 0.1266 0.6623
17 Rb 0.6040 0.7626 0.1675
18 Rb 0.1040 0.2626 0.3325
19 Rb 0.3960 0.2374 0.8325
20 Rb 0.8960 0.7374 0.6675
21 Ni 0.6071 0.2934 0.3308
22 Ni 0.1071 0.7934 0.1692
23 Ni 0.8929 0.2066 0.8308
24 Ni 0.3929 0.7066 0.6692

Computed properties:
density of states at the Fermi level = 0.3574 states/eV per atom
density = 3814 kg/m3

---

Which structure is the least stable? The one labeled model a.

---

Model a:
## RbNi2I2 (PBE)

Data for a relaxed structure of RbNi2I2.

Lattice parameters (Å, degrees): 8.8876 8.8876 3.7906 90.00 90.00 90.00
Atoms (fractional coordinates):
1 Rb 0.0000 0.0000 0.0000
2 Rb 0.5000 0.5000 0.0000
3 Ni 0.5914 0.9086 0.5000
4 Ni 0.0914 0.5914 0.5000
5 Ni 0.9086 0.4086 0.5000
6 Ni 0.4086 0.0914 0.5000
7 I 0.6408 0.1408 0.0000
8 I 0.8592 0.6408 0.0000
9 I 0.3592 0.8592 0.0000
10 I 0.1408 0.3592 0.0000

Computed properties:
density of states at the Fermi level = 0.9083 states/eV per atom
density = 5065 kg/m3

---

Model b:
## RbNi2I2 (PBE)

Data for a relaxed structure of RbNi2I2.

Lattice parameters (Å, degrees): 4.1731 4.1731 8.0928 75.06 75.06 90.00
Atoms (fractional coordinates):
1 I 0.6470 0.6470 0.7059
2 I 0.3530 0.3530 0.2941
3 Rb 0.0000 0.0000 0.0000
4 Ni 0.2500 0.7500 0.5000
5 Ni 0.7500 0.2500 0.5000

Computed properties:
density of states at the Fermi level = 6.1562 states/eV per atom
density = 5778 kg/m3

---

Which structure is the least stable? The one labeled model a.

---

Model a:
## RbNi2I (PBE)

Data for a relaxed structure of RbNi2I.

Lattice parameters (Å, degrees): 5.2894 5.2894 8.9301 72.77 72.77 90.00
Atoms (fractional coordinates):
1 I 0.0000 0.0000 0.0000
2 I 0.7500 0.2500 0.5000
3 Ni 0.8750 0.1248 0.7500
4 Ni 0.3750 0.1252 0.7500
5 Ni 0.8748 0.1250 0.2500
6 Ni 0.8752 0.6250 0.2500
7 Rb 0.5000 0.5000 0.0000
8 Rb 0.2500 0.7500 0.5000

Computed properties:
density of states at the Fermi level = 0.1068 states/eV per atom
density = 4827 kg/m3

---

Model b:
## RbNi2I (PBE)

Data for a relaxed structure of RbNi2I.

Lattice parameters (Å, degrees): 4.9154 4.9154 4.9154 60.00 60.00 60.00
Atoms (fractional coordinates):
1 Rb 0.0000 0.0000 0.0000
2 Ni 0.2500 0.2500 0.2500
3 Ni 0.7500 0.7500 0.7500
4 I 0.5000 0.5000 0.5000

Computed properties:
density of states at the Fermi level = 0.1890 states/eV per atom
density = 6520 kg/m3

---

Which structure is the least stable? The one labeled model b.

---

Model a:
## Re2NiI (PBE)

Data for a relaxed structure of Re2NiI.

Lattice parameters (Å, degrees): 4.4337 4.4337 4.4337 60.00 60.00 60.00
Atoms (fractional coordinates):
1 I 0.5000 0.5000 0.5000
2 Re 0.7500 0.7500 0.7500
3 Re 0.2500 0.2500 0.2500
4 Ni 0.0000 0.0000 0.0000

Computed properties:
density of states at the Fermi level = 1.0882 states/eV per atom
density = 15036 kg/m3

---

Model b:
## Re2NiI (PBE)

Data for a relaxed structure of Re2NiI.

Lattice parameters (Å, degrees): 3.8406 3.8406 10.0524 78.99 78.99 90.00
Atoms (fractional coordinates):
1 Re 0.3750 0.4368 0.7500
2 Re 0.1868 0.6250 0.2500
3 Re 0.5632 0.1250 0.2500
4 Re 0.8750 0.8132 0.7500
5 Ni 0.5000 0.5000 0.0000
6 Ni 0.2500 0.7500 0.5000
7 I 0.7500 0.2500 0.5000
8 I 0.0000 0.0000 0.0000

Computed properties:
density of states at the Fermi level = 0.4996 states/eV per atom
density = 12981 kg/m3

---

Which structure is the least stable? The one labeled model a.

---

Model a:
## ReNiI2 (PBE)

Data for a relaxed structure of ReNiI2.

Lattice parameters (Å, degrees): 5.9451 5.9451 7.1134 65.30 65.30 90.00
Atoms (fractional coordinates):
1 Ni 0.5000 0.5000 0.0000
2 Ni 0.2500 0.7500 0.5000
3 Re 0.0000 0.0000 0.0000
4 Re 0.7500 0.2500 0.5000
5 I 0.3750 0.3897 0.7500
6 I 0.6103 0.1250 0.2500
7 I 0.1397 0.6250 0.2500
8 I 0.8750 0.8603 0.7500

Computed properties:
density of states at the Fermi level = 0.8709 states/eV per atom
density = 8166 kg/m3

---

Model b:
## ReNiI2 (PBE)

Data for a relaxed structure of ReNiI2.

Lattice parameters (Å, degrees): 3.5222 3.5222 8.6382 78.24 78.24 60.00
Atoms (fractional coordinates):
1 I 0.8984 0.8984 0.3048
2 I 0.1016 0.1016 0.6952
3 Ni 0.5000 0.5000 0.5000
4 Re 0.0000 0.0000 0.0000

Computed properties:
density of states at the Fermi level = 1.0641 states/eV per atom
density = 9181 kg/m3

---

Which structure is the least stable? The one labeled model b.

---

Model a:
## Re3NiI (PBE)

Data for a relaxed structure of Re3NiI.

Lattice parameters (Å, degrees): 4.7693 4.7693 4.7693 90.00 90.00 90.00
Atoms (fractional coordinates):
1 I 0.0000 0.0000 0.0000
2 Ni 0.5000 0.5000 0.5000
3 Re 0.0000 0.5000 0.0000
4 Re 0.5000 0.0000 0.0000
5 Re 0.0000 0.0000 0.5000

Computed properties:
density of states at the Fermi level = 0.8478 states/eV per atom
density = 11392 kg/m3

---

Model b:
## Re3NiI (PBE)

Data for a relaxed structure of Re3NiI.

Lattice parameters (Å, degrees): 4.5398 4.5398 4.5398 90.00 90.00 90.00
Atoms (fractional coordinates):
1 Re 0.5000 0.0000 0.0000
2 Re 0.0000 0.5000 0.0000
3 Re 0.0000 0.0000 0.5000
4 I 0.5000 0.5000 0.5000
5 Ni 0.0000 0.0000 0.0000

Computed properties:
density of states at the Fermi level = 1.9535 states/eV per atom
density = 13208 kg/m3

---

Which structure is the least stable? The one labeled model a.